# Dy2Zn3Ge | the Alexandria database | GGA-PBE | optimized geometry
# **Energy of formation**: -3.0 eV/f.u.
# **Magnetic moment**: 0.0 μB/cell
# **Raw total energy**: -3.44 eV/atom
data_Dy2Zn3Ge
_chemical_formula_sum 'Dy2 Zn3 Ge1'
_symmetry_space_group_name_H-M 'P m m 2'
_symmetry_Int_Tables_number 25
_symmetry_space_group_name_Hall 'P 2 -2'
_cell_length_a 3.653
_cell_length_b 4.383
_cell_length_c 7.567
_cell_angle_alpha 90.00
_cell_angle_beta 90.00
_cell_angle_gamma 90.00
loop_
_atom_site_label
_atom_site_type_symbol
_atom_site_fract_x
_atom_site_fract_y
_atom_site_fract_z
Dy1 Dy 0.000 0.000 0.000
Dy2 Dy 0.000 0.500 0.486
Zn1 Zn 0.500 0.000 0.668
Zn2 Zn 0.500 0.500 0.151
Zn3 Zn 0.500 0.500 0.821
Ge1 Ge 0.500 0.000 0.331